Entry 1:
# InCoAg2 (GGA-PBE, optimized geometry)
# Volume ... 213.3 Å³ per cell
# Formation enthalpy at 0 K ... 0.3965 eV per atom
# DOS at the Fermi energy ... 10.57 states/eV per cell
data_InCoAg2
_chemical_formula_sum 'In3 Co3 Ag6'
_space_group_name_H-M_alt 'R -3 m'
_space_group_IT_number 166
_space_group_name_Hall '-R 3 2"'
_cell_length_a 2.9717
_cell_length_b 2.9717
_cell_length_c 27.8887
_cell_angle_alpha 90.00
_cell_angle_beta 90.00
_cell_angle_gamma 120.00
loop_
_atom_site_label
_atom_site_type_symbol
_atom_site_fract_x
_atom_site_fract_y
_atom_site_fract_z
In1 In 0.0000 0.0000 0.0000
Co1 Co 0.0000 0.0000 0.5000
Ag1 Ag 0.0000 0.0000 0.2424

***

Entry 2:
# TaSeN2F (GGA-PBE, optimized geometry)
# Volume ... 62.6 Å³ per cell
# Uncorrected formation energy ... 1.22 eV per atom
# ΔE to the lowest computed polymorph ... 7.055 eV per formula unit
# DOS at the Fermi energy ... 3.09 states/eV per cell
data_TaSeN2F
_chemical_formula_sum 'Ta1 Se1 N2 F1'
_space_group_name_H-M_alt 'P 4/m m m'
_space_group_IT_number 123
_space_group_name_Hall '-P 4 2'
_cell_length_a 4.055
_cell_length_b 4.055
_cell_length_c 3.807
_cell_angle_alpha 90.00
_cell_angle_beta 90.00
_cell_angle_gamma 90.00
loop_
_atom_site_label
_atom_site_type_symbol
_atom_site_fract_x
_atom_site_fract_y
_atom_site_fract_z
Ta1 Ta 0.000 0.000 0.000
Se1 Se 0.500 0.500 0.500
N1 N 0.000 0.500 0.500
F1 F 0.500 0.500 0.000

***

Question: Among the records above, which one has the highest volume?
Answer: InCoAg2